Entry 1:
The following is a PBE calculation of MgTaPS2 after structural relaxation, from the Alexandria database.

abc: 4.504 4.504 4.806
angles: 90.00 90.00 90.00
Fractional coordinates of all 5 atoms:
P1 0.000 0.000 0.500
Mg1 0.000 0.000 0.000
S1 0.000 0.500 0.000
Ta1 0.500 0.500 0.500
S2 0.500 0.000 0.000

Distance to the lowest polymorph of the same formula = 1100.0 meV/atom
E_form (uncorrected) = 0.8318 eV per atom
Magnetization = 0.002 μB/f.u.

Entry 2:
The following is a PBE calculation of WC2 after structural relaxation, from the Alexandria database.

abc: 4.975 4.975 3.081
angles: 90.00 90.00 90.00
Fractional coordinates of all 6 atoms:
W1 0.500 0.500 0.000
C1 0.292 0.708 0.500
C2 0.208 0.208 0.000
C3 0.792 0.792 0.000
C4 0.708 0.292 0.500
W2 0.000 0.000 0.500

ΔH_f (0 K) = 36.83 kcal/mol of atoms
Distance to the lowest polymorph of the same formula = 1081.3 meV/atom
Magnetization = 0.000 μB/f.u.